(1)
Here is a relaxed structure of PuAlSbO6 from the Alexandria database. Energies are from PBE.

Geometry as POSCAR:
```
PuAlSbO6
1.0
-3.755 -2.348 2.868
1.718 -2.254 -4.451
6.775 -4.721 5.005
Pu Al Sb O
2 2 2 12
Direct
0.667 0.333 0.250
0.333 0.667 0.750
0.333 0.667 0.250
0.667 0.333 0.750
0.000 0.000 0.000
0.000 0.000 0.500
0.634 0.655 0.139
0.020 0.366 0.139
0.366 0.020 0.639
0.980 0.634 0.861
0.345 0.366 0.361
0.020 0.655 0.361
0.655 0.020 0.861
0.634 0.980 0.361
0.980 0.345 0.639
0.345 0.980 0.139
0.655 0.634 0.639
0.366 0.345 0.861
```

Properties
Total magnetization in Bohr magnetons per cell: 3.98
ΔE_f (raw) in eV per atom: -2.1725


(2)
Here is a relaxed structure of Y2Si2SnRu5 from the Alexandria database. Energies are from PBE.

Geometry as POSCAR:
```
Y2Si2SnRu5
1.0
3.267 0.000 0.000
0.000 10.112 0.000
0.000 0.000 10.112
Y Si Sn Ru
4 4 2 10
Direct
0.000 0.674 0.174
0.000 0.326 0.826
0.000 0.174 0.326
0.000 0.826 0.674
0.000 0.125 0.625
0.000 0.875 0.375
0.000 0.625 0.875
0.000 0.375 0.125
0.000 0.000 0.000
0.000 0.500 0.500
0.500 0.213 0.068
0.500 0.787 0.932
0.500 0.068 0.787
0.500 0.713 0.432
0.500 0.932 0.213
0.500 0.287 0.568
0.500 0.568 0.713
0.500 0.432 0.287
0.500 0.500 0.000
0.500 0.000 0.500
```

Properties
Total magnetization in Bohr magnetons per cell: 0.00
ΔE_f (raw) in eV per atom: -0.6459


(3)
Here is a relaxed structure of Cd2PbBr from the Alexandria database. Energies are from PBE.

Geometry as POSCAR:
```
Cd2PbBr
1.0
-0.552 3.846 -1.263
-1.510 0.984 3.658
6.600 1.692 2.270
Pb Br Cd
1 1 2
Direct
0.000 0.000 0.423
0.500 0.500 0.820
0.000 0.000 0.999
0.500 0.500 0.257
```

Properties
Total magnetization in Bohr magnetons per cell: 0.00
ΔE_f (raw) in eV per atom: -0.1729
Energy relative to the lowest polymorph listed for this composition in meV per atom: 6


(4)
Here is a relaxed structure of Mn2CrCl from the Alexandria database. Energies are from PBE.

Geometry as POSCAR:
```
Mn2CrCl
1.0
-2.287 3.515 -3.649
-1.203 -1.225 -5.287
-0.593 -1.926 5.181
Cr Mn Cl
1 2 1
Direct
0.750 0.250 0.500
0.000 0.000 0.000
0.250 0.750 0.500
0.500 0.500 0.000
```

Properties
Total magnetization in Bohr magnetons per cell: 3.97
ΔE_f (raw) in eV per atom: 0.5953
Energy relative to the lowest polymorph listed for this composition in meV per atom: 504


(5)
Here is a relaxed structure of Ho7ErSc4 from the Alexandria database. Energies are from PBE.

Geometry as POSCAR:
```
Ho7ErSc4
1.0
6.640 1.798 0.818
4.946 7.360 2.315
-0.929 -0.385 8.451
Ho Er Sc
7 1 4
Direct
0.751 0.503 0.005
0.249 0.497 0.995
0.972 0.283 0.661
0.028 0.717 0.339
0.223 0.777 0.664
0.500 0.000 0.000
0.777 0.223 0.336
0.000 0.000 0.000
0.529 0.725 0.338
0.471 0.275 0.662
0.717 0.783 0.660
0.283 0.217 0.340
```

Properties
Total magnetization in Bohr magnetons per cell: 0.00
Energy of formation from the pure elements in kJ per mole of atoms: 2


(6)
Here is a relaxed structure of Ce2USb2N2 from the Alexandria database. Energies are from PBE.

Geometry as POSCAR:
```
Ce2USb2N2
1.0
-2.732 -2.671 2.108
0.909 -3.178 -2.849
7.022 0.418 5.115
Ce U Sb N
2 1 2 2
Direct
0.388 0.388 0.775
0.612 0.612 0.225
0.000 0.000 0.000
0.188 0.188 0.376
0.812 0.812 0.624
0.000 0.500 0.000
0.500 0.000 0.000
```

Properties
Total magnetization in Bohr magnetons per cell: 2.07
ΔE_f (raw) in eV per atom: -1.0582


(7)
Here is a relaxed structure of Th3Mg4Ir4 from the Alexandria database. Energies are from PBE.

Geometry as POSCAR:
```
Th3Mg4Ir4
1.0
3.781 0.000 -0.940
-0.975 6.937 -3.918
0.180 0.347 8.792
Th Mg Ir
3 4 4
Direct
0.112 0.112 0.224
0.888 0.888 0.776
0.000 0.500 0.000
0.323 0.137 0.647
0.677 0.490 0.353
0.677 0.863 0.353
0.323 0.510 0.647
0.249 0.749 0.499
0.751 0.251 0.501
0.500 0.775 0.000
0.500 0.225 0.000
```

Properties
Total magnetization in Bohr magnetons per cell: 0.00
Energy of formation from the pure elements in kJ per mole of atoms: -60


(8)
Here is a relaxed structure of CaMgZnCl6 from the Alexandria database. Energies are from PBE.

Geometry as POSCAR:
```
CaMgZnCl6
1.0
6.411 0.000 0.000
-3.206 5.552 0.000
0.000 0.000 12.098
Ca Mg Zn Cl
2 2 2 12
Direct
0.000 0.000 0.000
0.000 0.000 0.500
0.333 0.667 0.250
0.667 0.333 0.750
0.667 0.333 0.250
0.333 0.667 0.750
0.647 0.643 0.134
0.997 0.353 0.134
0.353 0.997 0.634
0.003 0.647 0.866
0.357 0.353 0.366
0.997 0.643 0.366
0.643 0.997 0.866
0.647 0.003 0.366
0.003 0.357 0.634
0.357 0.003 0.134
0.643 0.647 0.634
0.353 0.357 0.866
```

Properties
Total magnetization in Bohr magnetons per cell: 0.00
ΔE_f (raw) in eV per atom: -1.7500